--- A ---
# LiAg3Hg (PBE, optimized geometry)
# * crystal system: cubic
# * total moment: 0.00 μB per atom
# * N(E_F): 1.63 states/eV/f.u.
data_LiAg3Hg
_chemical_formula_sum 'Li1 Ag3 Hg1'
_symmetry_space_group_name_H-M 'P m -3 m'
_symmetry_Int_Tables_number 221
_symmetry_space_group_name_Hall '-P 4 2 3'
_cell_length_a 4.606
_cell_length_b 4.606
_cell_length_c 4.606
_cell_angle_alpha 90.00
_cell_angle_beta 90.00
_cell_angle_gamma 90.00
loop_
_atom_site_label
_atom_site_type_symbol
_atom_site_fract_x
_atom_site_fract_y
_atom_site_fract_z
Li1 Li 0.000 0.000 0.000
Ag1 Ag 0.000 0.000 0.500
Hg1 Hg 0.500 0.500 0.500

--- B ---
# LiAg3Hg (PBE, optimized geometry)
# * crystal system: monoclinic
# * total moment: 0.00 μB per atom
# * N(E_F): 1.21 states/eV/f.u.
data_LiAg3Hg
_chemical_formula_sum 'Li2 Ag6 Hg2'
_symmetry_space_group_name_H-M 'P 1 21/m 1'
_symmetry_Int_Tables_number 11
_cell_length_a 4.875
_cell_length_b 5.754
_cell_length_c 7.104
_cell_angle_alpha 90.00
_cell_angle_beta 109.82
_cell_angle_gamma 90.00
loop_
_symmetry_equiv_pos_as_xyz
'x,y,z'
'-x,-y,-z'
'-x,y+1/2,-z'
'x,-y+1/2,z'
loop_
_atom_site_label
_atom_site_type_symbol
_atom_site_fract_x
_atom_site_fract_y
_atom_site_fract_z
Li1 Li 0.113 0.250 0.222
Ag1 Ag 0.311 0.502 0.621
Ag2 Ag 0.495 0.750 0.996
Hg1 Hg 0.110 0.750 0.227

--- C ---
# LiAg3Hg (PBE, optimized geometry)
# * crystal system: monoclinic
# * total moment: 0.00 μB per atom
# * N(E_F): 1.30 states/eV/f.u.
data_LiAg3Hg
_chemical_formula_sum 'Li2 Ag6 Hg2'
_symmetry_space_group_name_H-M 'C 1 2/m 1'
_symmetry_Int_Tables_number 12
_cell_length_a 9.764
_cell_length_b 5.592
_cell_length_c 5.636
_cell_angle_alpha 90.00
_cell_angle_beta 125.14
_cell_angle_gamma 90.00
loop_
_symmetry_equiv_pos_as_xyz
'x,y,z'
'-x,-y,-z'
'-x,y,-z'
'x,-y,z'
'x+1/2,y+1/2,z'
'-x+1/2,-y+1/2,-z'
'-x+1/2,y+1/2,-z'
'x+1/2,-y+1/2,z'
loop_
_atom_site_label
_atom_site_type_symbol
_atom_site_fract_x
_atom_site_fract_y
_atom_site_fract_z
Li1 Li 0.000 0.000 0.000
Ag1 Ag 0.000 0.500 0.000
Ag2 Ag 0.250 0.250 0.000
Hg1 Hg 0.000 0.000 0.500

Relative to the most stable structure, the computed energies are A 41.4; B 0.0; C 21.1, all in kJ/mol of atoms.

--- A ---
# Li3Ag2Hg2 (PBE, optimized geometry)
# * crystal system: monoclinic
# * total moment: 0.00 μB per atom
# * N(E_F): 2.29 states/eV/f.u.
data_Li3Ag2Hg2
_chemical_formula_sum 'Li3 Ag2 Hg2'
_symmetry_space_group_name_H-M 'P 1 2/m 1'
_symmetry_Int_Tables_number 10
_cell_length_a 4.707
_cell_length_b 2.878
_cell_length_c 9.900
_cell_angle_alpha 90.00
_cell_angle_beta 102.20
_cell_angle_gamma 90.00
loop_
_symmetry_equiv_pos_as_xyz
'x,y,z'
'-x,-y,-z'
'-x,y,-z'
'x,-y,z'
loop_
_atom_site_label
_atom_site_type_symbol
_atom_site_fract_x
_atom_site_fract_y
_atom_site_fract_z
Li1 Li 0.000 0.000 0.000
Li2 Li 0.287 0.000 0.579
Ag1 Ag 0.154 0.000 0.293
Hg1 Hg 0.409 0.500 0.845

--- B ---
# Li3Ag2Hg2 (PBE, optimized geometry)
# * crystal system: triclinic
# * total moment: 0.00 μB per atom
# * N(E_F): 2.24 states/eV/f.u.
data_Li3Ag2Hg2
_chemical_formula_sum 'Li3 Ag2 Hg2'
_symmetry_space_group_name_H-M 'P -1'
_symmetry_Int_Tables_number 2
_cell_length_a 4.269
_cell_length_b 4.979
_cell_length_c 6.683
_cell_angle_alpha 79.28
_cell_angle_beta 89.72
_cell_angle_gamma 64.68
loop_
_symmetry_equiv_pos_as_xyz
'x,y,z'
'-x,-y,-z'
loop_
_atom_site_label
_atom_site_type_symbol
_atom_site_fract_x
_atom_site_fract_y
_atom_site_fract_z
Li1 Li 0.000 0.000 0.000
Li2 Li 0.289 0.421 0.831
Ag1 Ag 0.138 0.723 0.422
Hg1 Hg 0.417 0.170 0.252

Relative to the most stable structure, the computed energies are A 10.1; B 0.0, all in kJ/mol of atoms.

--- A ---
# LiAg5Hg2 (PBE, optimized geometry)
# * crystal system: monoclinic
# * total moment: 0.00 μB per atom
# * N(E_F): 1.84 states/eV/f.u.
data_LiAg5Hg2
_chemical_formula_sum 'Li4 Ag20 Hg8'
_symmetry_space_group_name_H-M 'P 1 21/c 1'
_symmetry_Int_Tables_number 14
_cell_length_a 5.172
_cell_length_b 11.951
_cell_length_c 9.758
_cell_angle_alpha 90.00
_cell_angle_beta 99.15
_cell_angle_gamma 90.00
loop_
_symmetry_equiv_pos_as_xyz
'x,y,z'
'-x,-y,-z'
'-x,y+1/2,-z+1/2'
'x,-y+1/2,z+1/2'
loop_
_atom_site_label
_atom_site_type_symbol
_atom_site_fract_x
_atom_site_fract_y
_atom_site_fract_z
Li1 Li 0.125 0.191 0.125
Ag1 Ag 0.125 0.686 0.126
Ag2 Ag 0.127 0.067 0.625
Ag3 Ag 0.374 0.187 0.876
Ag4 Ag 0.375 0.695 0.875
Ag5 Ag 0.377 0.563 0.375
Hg1 Hg 0.121 0.570 0.622
Hg2 Hg 0.369 0.069 0.372

--- B ---
# LiAg5Hg2 (PBE, optimized geometry)
# * crystal system: orthorhombic
# * total moment: 0.00 μB per atom
# * N(E_F): 2.26 states/eV/f.u.
data_LiAg5Hg2
_chemical_formula_sum 'Li2 Ag10 Hg4'
_symmetry_space_group_name_H-M 'P b a m'
_symmetry_Int_Tables_number 55
_cell_length_a 5.973
_cell_length_b 11.975
_cell_length_c 4.148
_cell_angle_alpha 90.00
_cell_angle_beta 90.00
_cell_angle_gamma 90.00
loop_
_symmetry_equiv_pos_as_xyz
'x,y,z'
'-x,-y,-z'
'-x,-y,z'
'x,y,-z'
'x+1/2,-y+1/2,-z'
'-x+1/2,y+1/2,z'
'-x+1/2,y+1/2,-z'
'x+1/2,-y+1/2,z'
loop_
_atom_site_label
_atom_site_type_symbol
_atom_site_fract_x
_atom_site_fract_y
_atom_site_fract_z
Li1 Li 0.000 0.000 0.000
Ag1 Ag 0.000 0.500 0.000
Ag2 Ag 0.012 0.250 0.000
Ag3 Ag 0.241 0.626 0.500
Hg1 Hg 0.233 0.880 0.500

Relative to the most stable structure, the computed energies are A 1.7; B 0.0, all in kJ/mol of atoms.

--- A ---
# Li4AgHg2 (PBE, optimized geometry)
# * crystal system: monoclinic
# * total moment: 0.00 μB per atom
# * N(E_F): 2.38 states/eV/f.u.
data_Li4AgHg2
_chemical_formula_sum 'Li8 Ag2 Hg4'
_symmetry_space_group_name_H-M 'P 1 21/m 1'
_symmetry_Int_Tables_number 11
_cell_length_a 4.787
_cell_length_b 5.688
_cell_length_c 9.862
_cell_angle_alpha 90.00
_cell_angle_beta 103.37
_cell_angle_gamma 90.00
loop_
_symmetry_equiv_pos_as_xyz
'x,y,z'
'-x,-y,-z'
'-x,y+1/2,-z'
'x,-y+1/2,z'
loop_
_atom_site_label
_atom_site_type_symbol
_atom_site_fract_x
_atom_site_fract_y
_atom_site_fract_z
Li1 Li 0.058 0.250 0.120
Li2 Li 0.231 0.750 0.453
Li3 Li 0.362 0.003 0.720
Ag1 Ag 0.089 0.750 0.184
Hg1 Hg 0.199 0.250 0.404
Hg2 Hg 0.493 0.250 0.985

--- B ---
# Li4AgHg2 (PBE, optimized geometry)
# * crystal system: trigonal
# * total moment: 0.00 μB per atom
# * N(E_F): 3.28 states/eV/f.u.
data_Li4AgHg2
_chemical_formula_sum 'Li12 Ag3 Hg6'
_symmetry_space_group_name_H-M 'R -3 m'
_symmetry_Int_Tables_number 166
_symmetry_space_group_name_Hall '-R 3 2"'
_cell_length_a 4.6683
_cell_length_b 4.6683
_cell_length_c 20.5339
_cell_angle_alpha 90.00
_cell_angle_beta 90.00
_cell_angle_gamma 120.00
loop_
_atom_site_label
_atom_site_type_symbol
_atom_site_fract_x
_atom_site_fract_y
_atom_site_fract_z
Li1 Li 0.0000 0.0000 0.0932
Li2 Li 0.0000 0.0000 0.3666
Ag1 Ag 0.0000 0.0000 0.5000
Hg1 Hg 0.0000 0.0000 0.2339

Relative to the most stable structure, the computed energies are A 2.8; B 0.0, all in kJ/mol of atoms.

--- A ---
# LiAg2Hg3 (PBE, optimized geometry)
# * crystal system: monoclinic
# * total moment: 0.00 μB per atom
# * N(E_F): 2.18 states/eV/f.u.
data_LiAg2Hg3
_chemical_formula_sum 'Li4 Ag8 Hg12'
_symmetry_space_group_name_H-M 'C 1 2/c 1'
_symmetry_Int_Tables_number 15
_cell_length_a 14.319
_cell_length_b 5.970
_cell_length_c 6.009
_cell_angle_alpha 90.00
_cell_angle_beta 102.54
_cell_angle_gamma 90.00
loop_
_symmetry_equiv_pos_as_xyz
'x,y,z'
'-x,-y,-z'
'-x,y,-z+1/2'
'x,-y,z+1/2'
'x+1/2,y+1/2,z'
'-x+1/2,-y+1/2,-z'
'-x+1/2,y+1/2,-z+1/2'
'x+1/2,-y+1/2,z+1/2'
loop_
_atom_site_label
_atom_site_type_symbol
_atom_site_fract_x
_atom_site_fract_y
_atom_site_fract_z
Li1 Li 0.000 0.233 0.250
Ag1 Ag 0.153 0.496 0.079
Hg1 Hg 0.000 0.276 0.750
Hg2 Hg 0.165 0.006 0.576

--- B ---
# LiAg2Hg3 (PBE, optimized geometry)
# * crystal system: orthorhombic
# * total moment: 0.00 μB per atom
# * N(E_F): 1.27 states/eV/f.u.
data_LiAg2Hg3
_chemical_formula_sum 'Li4 Ag8 Hg12'
_symmetry_space_group_name_H-M 'C m m m'
_symmetry_Int_Tables_number 65
_symmetry_space_group_name_Hall '-C 2 2'
_cell_length_a 4.560
_cell_length_b 13.677
_cell_length_c 7.643
_cell_angle_alpha 90.00
_cell_angle_beta 90.00
_cell_angle_gamma 90.00
loop_
_atom_site_label
_atom_site_type_symbol
_atom_site_fract_x
_atom_site_fract_y
_atom_site_fract_z
Li1 Li 0.000 0.159 0.000
Ag1 Ag 0.000 0.167 0.500
Ag2 Ag 0.000 0.500 0.000
Ag3 Ag 0.000 0.500 0.500
Hg1 Hg 0.000 0.000 0.247
Hg2 Hg 0.000 0.329 0.235

Relative to the most stable structure, the computed energies are A 3.6; B 0.0, all in kJ/mol of atoms.

--- A ---
# Li6Ag3Hg (PBE, optimized geometry)
# * crystal system: monoclinic
# * total moment: 0.00 μB per atom
# * N(E_F): 2.85 states/eV/f.u.
data_Li6Ag3Hg
_chemical_formula_sum 'Li12 Ag6 Hg2'
_symmetry_space_group_name_H-M 'P 1 21/m 1'
_symmetry_Int_Tables_number 11
_cell_length_a 8.038
_cell_length_b 4.439
_cell_length_c 9.516
_cell_angle_alpha 90.00
_cell_angle_beta 102.01
_cell_angle_gamma 90.00
loop_
_symmetry_equiv_pos_as_xyz
'x,y,z'
'-x,-y,-z'
'-x,y+1/2,-z'
'x,-y+1/2,z'
loop_
_atom_site_label
_atom_site_type_symbol
_atom_site_fract_x
_atom_site_fract_y
_atom_site_fract_z
Li1 Li 0.042 0.250 0.400
Li2 Li 0.136 0.750 0.196
Li3 Li 0.245 0.250 0.987
Li4 Li 0.339 0.750 0.796
Li5 Li 0.347 0.250 0.294
Li6 Li 0.443 0.250 0.596
Ag1 Ag 0.045 0.750 0.900
Ag2 Ag 0.146 0.250 0.693
Ag3 Ag 0.250 0.750 0.494
Hg1 Hg 0.444 0.750 0.109

--- B ---
# Li6Ag3Hg (PBE, optimized geometry)
# * crystal system: monoclinic
# * total moment: 0.00 μB per atom
# * N(E_F): 2.60 states/eV/f.u.
data_Li6Ag3Hg
_chemical_formula_sum 'Li12 Ag6 Hg2'
_symmetry_space_group_name_H-M 'P 1 21/c 1'
_symmetry_Int_Tables_number 14
_cell_length_a 7.392
_cell_length_b 6.638
_cell_length_c 10.258
_cell_angle_alpha 90.00
_cell_angle_beta 133.05
_cell_angle_gamma 90.00
loop_
_symmetry_equiv_pos_as_xyz
'x,y,z'
'-x,-y,-z'
'-x,y+1/2,-z+1/2'
'x,-y+1/2,z+1/2'
loop_
_atom_site_label
_atom_site_type_symbol
_atom_site_fract_x
_atom_site_fract_y
_atom_site_fract_z
Li1 Li 0.038 0.160 0.236
Li2 Li 0.220 0.150 0.061
Li3 Li 0.398 0.620 0.054
Ag1 Ag 0.000 0.000 0.500
Ag2 Ag 0.287 0.682 0.736
Hg1 Hg 0.500 0.000 0.000

Relative to the most stable structure, the computed energies are A 0.0; B 9.1, all in kJ/mol of atoms.

--- A ---
# Li2Ag3Hg3 (PBE, optimized geometry)
# * crystal system: orthorhombic
# * total moment: 0.00 μB per atom
# * N(E_F): 2.25 states/eV/f.u.
data_Li2Ag3Hg3
_chemical_formula_sum 'Li8 Ag12 Hg12'
_symmetry_space_group_name_H-M 'C m c m'
_symmetry_Int_Tables_number 63
_symmetry_space_group_name_Hall '-C 2c 2'
_cell_length_a 4.532
_cell_length_b 9.950
_cell_length_c 14.004
_cell_angle_alpha 90.00
_cell_angle_beta 90.00
_cell_angle_gamma 90.00
loop_
_atom_site_label
_atom_site_type_symbol
_atom_site_fract_x
_atom_site_fract_y
_atom_site_fract_z
Li1 Li 0.000 0.239 0.124
Ag1 Ag 0.000 0.085 0.581
Ag2 Ag 0.000 0.240 0.750
Hg1 Hg 0.000 0.381 0.563
Hg2 Hg 0.000 0.461 0.250

--- B ---
# Li2Ag3Hg3 (PBE, optimized geometry)
# * crystal system: trigonal
# * total moment: 0.00 μB per atom
# * N(E_F): 3.73 states/eV/f.u.
data_Li2Ag3Hg3
_chemical_formula_sum 'Li6 Ag9 Hg9'
_symmetry_space_group_name_H-M 'R 3 m'
_symmetry_Int_Tables_number 160
_symmetry_space_group_name_Hall 'R 3 -2"'
_cell_length_a 4.7090
_cell_length_b 4.7090
_cell_length_c 23.6264
_cell_angle_alpha 90.00
_cell_angle_beta 90.00
_cell_angle_gamma 120.00
loop_
_atom_site_label
_atom_site_type_symbol
_atom_site_fract_x
_atom_site_fract_y
_atom_site_fract_z
Li1 Li 0.0000 0.0000 0.0000
Li2 Li 0.0000 0.0000 0.4985
Ag1 Ag 0.0000 0.0000 0.2499
Ag2 Ag 0.0000 0.0000 0.3730
Ag3 Ag 0.0000 0.0000 0.7491
Hg1 Hg 0.0000 0.0000 0.1220
Hg2 Hg 0.0000 0.0000 0.6291
Hg3 Hg 0.0000 0.0000 0.8734

Relative to the most stable structure, the computed energies are A 4.1; B 0.0, all in kJ/mol of atoms.

--- A ---
# Li3Ag4Hg (PBE, optimized geometry)
# * crystal system: orthorhombic
# * total moment: 0.00 μB per atom
# * N(E_F): 2.26 states/eV/f.u.
data_Li3Ag4Hg
_chemical_formula_sum 'Li6 Ag8 Hg2'
_symmetry_space_group_name_H-M 'I m m 2'
_symmetry_Int_Tables_number 44
_cell_length_a 5.278
_cell_length_b 7.613
_cell_length_c 8.082
_cell_angle_alpha 90.00
_cell_angle_beta 90.00
_cell_angle_gamma 90.00
loop_
_symmetry_equiv_pos_as_xyz
'x,y,z'
'-x,-y,z'
'-x,y,z'
'x,-y,z'
'x+1/2,y+1/2,z+1/2'
'-x+1/2,-y+1/2,z+1/2'
'-x+1/2,y+1/2,z+1/2'
'x+1/2,-y+1/2,z+1/2'
loop_
_atom_site_label
_atom_site_type_symbol
_atom_site_fract_x
_atom_site_fract_y
_atom_site_fract_z
Li1 Li 0.000 0.000 0.000
Li2 Li 0.000 0.294 0.616
Ag1 Ag 0.000 0.180 0.295
Ag2 Ag 0.249 0.500 0.218
Hg1 Hg 0.000 0.500 0.896

--- B ---
# Li3Ag4Hg (PBE, optimized geometry)
# * crystal system: monoclinic
# * total moment: 0.00 μB per atom
# * N(E_F): 1.47 states/eV/f.u.
data_Li3Ag4Hg
_chemical_formula_sum 'Li6 Ag8 Hg2'
_symmetry_space_group_name_H-M 'C 1 2/m 1'
_symmetry_Int_Tables_number 12
_cell_length_a 17.466
_cell_length_b 4.154
_cell_length_c 3.891
_cell_angle_alpha 90.00
_cell_angle_beta 102.82
_cell_angle_gamma 90.00
loop_
_symmetry_equiv_pos_as_xyz
'x,y,z'
'-x,-y,-z'
'-x,y,-z'
'x,-y,z'
'x+1/2,y+1/2,z'
'-x+1/2,-y+1/2,-z'
'-x+1/2,y+1/2,-z'
'x+1/2,-y+1/2,z'
loop_
_atom_site_label
_atom_site_type_symbol
_atom_site_fract_x
_atom_site_fract_y
_atom_site_fract_z
Li1 Li 0.000 0.000 0.000
Li2 Li 0.132 0.500 0.132
Ag1 Ag 0.124 0.000 0.624
Ag2 Ag 0.250 0.000 0.251
Hg1 Hg 0.000 0.500 0.500

Relative to the most stable structure, the computed energies are A 18.9; B 0.0, all in kJ/mol of atoms.